## Li3In3Ga2 (PBE-GGA)

Data for a geometry-optimized Li3In3Ga2 structure.

Computed properties:
The offset from the most stable computed form comes out at 0 meV/atom. As for the crystal system: trigonal. The value obtained for the density is 5.24 Mg/m³. The energy of formation comes out at -1.4 eV per formula unit.

Cell lengths 5.4301, 5.4301, 5.4301 Å; angles 90.87, 90.87, 89.13 degrees
Positions (direct):
Ga: 0.7421 0.7421 0.2579
In: 0.7412 0.0000 0.7412
Li: 0.5000 0.2362 0.2362
Li: 0.2362 0.7638 0.5000
In: 0.2588 0.7412 0.0000
Li: 0.7638 0.5000 0.7638
In: 0.0000 0.2588 0.2588
Ga: 0.2579 0.2579 0.7421